Entry 1:
Here is a relaxed BeRe3I crystal from the Alexandria database. Energies are from PBE.

Properties
Crystal system: cubic
Relative energy among the computed polymorphs: 0.0 meV per atom
Uncorrected energy: -7.002 eV/atom
ΔE_f (raw): 1.52 eV per atom
Space-group type: No. 221

Cell lengths 4.3047, 4.3047, 4.3047 Å; angles 90.00, 90.00, 90.00 degrees
Last column: nearest neighbours and their distance in Å.
Element x y z (fractional)
Re: 0.5000 0.0000 0.0000  2 Be 2.15
Re: 0.0000 0.0000 0.5000  2 Be 2.15
Re: 0.0000 0.5000 0.0000  2 Be 2.15
Be: 0.0000 0.0000 0.0000  6 Re 2.15
I: 0.5000 0.5000 0.5000  12 Re 3.04

Entry 2:
Here is a relaxed BeReSb2I crystal from the Alexandria database. Energies are from PBE.

Properties
Crystal system: tetragonal
Relative energy among the computed polymorphs: 273.4 meV per atom
Uncorrected energy: -3.796 eV/atom
ΔE_f (raw): 1.40 eV per atom
Space-group type: No. 123

Cell lengths 4.8156, 4.8156, 5.1076 Å; angles 90.00, 90.00, 90.00 degrees
Last column: nearest neighbours and their distance in Å.
Element x y z (fractional)
Be: 0.0000 0.0000 0.0000  4 Sb 2.41, 2 I 2.55
Re: 0.5000 0.5000 0.5000  4 I 3.41, 8 Sb 3.51
Sb: 0.5000 0.0000 0.0000  2 Be 2.41
I: 0.0000 0.0000 0.5000  2 Be 2.55
Sb: 0.0000 0.5000 0.0000  2 Be 2.41

Entry 3:
Here is a relaxed BeReSbI2 crystal from the Alexandria database. Energies are from PBE.

Properties
Crystal system: tetragonal
Relative energy among the computed polymorphs: 0.0 meV per atom
Uncorrected energy: -3.466 eV/atom
ΔE_f (raw): 1.21 eV per atom
Space-group type: No. 123

Cell lengths 5.5988, 5.5988, 5.1273 Å; angles 90.00, 90.00, 90.00 degrees
Last column: nearest neighbours and their distance in Å.
Element x y z (fractional)
I: 0.5000 0.0000 0.0000  2 Re 2.80
Sb: 0.0000 0.0000 0.5000  2 Re 2.56
Be: 0.5000 0.5000 0.5000  8 I 3.80, 4 Sb 3.96
I: 0.0000 0.5000 0.0000  2 Re 2.80
Re: 0.0000 0.0000 0.0000  2 Sb 2.56, 4 I 2.80

Entry 4:
Here is a relaxed BeReSb2I crystal from the Alexandria database. Energies are from PBE.

Properties
Crystal system: tetragonal
Relative energy among the computed polymorphs: 0.0 meV per atom
Uncorrected energy: -4.069 eV/atom
ΔE_f (raw): 1.12 eV per atom
Space-group type: No. 123

Cell lengths 5.0808, 5.0808, 5.9399 Å; angles 90.00, 90.00, 90.00 degrees
Last column: nearest neighbours and their distance in Å.
Element x y z (fractional)
Re: 0.0000 0.0000 0.0000  4 Sb 2.54
I: 0.0000 0.0000 0.5000  2 Re 2.97
Sb: 0.5000 0.0000 0.0000  2 Re 2.54
Sb: 0.0000 0.5000 0.0000  2 Re 2.54
Be: 0.5000 0.5000 0.5000  4 I 3.59, 8 Sb 3.91

Entry 5:
Here is a relaxed BeReSbI2 crystal from the Alexandria database. Energies are from PBE.

Properties
Crystal system: tetragonal
Relative energy among the computed polymorphs: 329.8 meV per atom
Uncorrected energy: -3.136 eV/atom
ΔE_f (raw): 1.54 eV per atom
Space-group type: No. 123

Cell lengths 4.9103, 4.9103, 4.8203 Å; angles 90.00, 90.00, 90.00 degrees
Last column: nearest neighbours and their distance in Å.
Element x y z (fractional)
I: 0.5000 0.0000 0.0000  2 Be 2.46
Sb: 0.0000 0.0000 0.5000  2 Be 2.41
Re: 0.5000 0.5000 0.5000  8 I 3.44, 4 Sb 3.47
I: 0.0000 0.5000 0.0000  2 Be 2.46
Be: 0.0000 0.0000 0.0000  2 Sb 2.41, 4 I 2.46

Entry 6:
Here is a relaxed BeReSb2I crystal from the Alexandria database. Energies are from PBE.

Properties
Crystal system: tetragonal
Relative energy among the computed polymorphs: 55.0 meV per atom
Uncorrected energy: -4.014 eV/atom
ΔE_f (raw): 1.18 eV per atom
Space-group type: No. 123

Cell lengths 5.1518, 4.3564, 5.1518 Å; angles 90.00, 90.00, 90.00 degrees
Last column: nearest neighbours and their distance in Å.
Element x y z (fractional)
Be: 0.0000 0.0000 0.0000  2 Re 2.18
Sb: 0.5000 0.0000 0.0000  2 Be 2.58
Sb: 0.0000 0.0000 0.5000  2 Be 2.58
Re: 0.0000 0.5000 0.0000  2 Be 2.18
I: 0.5000 0.5000 0.5000  8 Sb 3.37, 4 Re 3.64

Entry 7:
Here is a relaxed Be2ReSnI crystal from the Alexandria database. Energies are from PBE.

Properties
Crystal system: tetragonal
Uncorrected energy: -4.069 eV/atom
ΔE_f (raw): 1.02 eV per atom
Space-group type: No. 123

Cell lengths 4.6036, 5.2559, 4.6036 Å; angles 90.00, 90.00, 90.00 degrees
Last column: nearest neighbours and their distance in Å.
Element x y z (fractional)
I: 0.5000 0.5000 0.5000  4 Sn 3.26, 8 Be 3.49
Re: 0.0000 0.0000 0.0000  4 Be 2.30
Be: 0.0000 0.0000 0.5000  2 Re 2.30
Sn: 0.0000 0.5000 0.0000  2 Re 2.63
Be: 0.5000 0.0000 0.0000  2 Re 2.30

Entry 8:
Here is a relaxed Sr2BeReI crystal from the Alexandria database. Energies are from PBE.

Properties
Crystal system: tetragonal
Uncorrected energy: -2.987 eV/atom
ΔE_f (raw): 1.23 eV per atom
Space-group type: No. 123

Cell lengths 5.8319, 4.7290, 5.8319 Å; angles 90.00, 90.00, 90.00 degrees
Last column: nearest neighbours and their distance in Å.
Element x y z (fractional)
Sr: 0.5000 0.0000 0.0000  2 Be 2.92
Re: 0.5000 0.5000 0.5000  8 Sr 3.75, 4 I 4.12
Sr: 0.0000 0.0000 0.5000  2 Be 2.92
Be: 0.0000 0.0000 0.0000  2 I 2.36
I: 0.0000 0.5000 0.0000  2 Be 2.36

Entry 9:
Here is a relaxed BeReTcI2 crystal from the Alexandria database. Energies are from PBE.

Properties
Crystal system: tetragonal
Uncorrected energy: -4.074 eV/atom
ΔE_f (raw): 1.85 eV per atom
Space-group type: No. 123

Cell lengths 4.8192, 4.0833, 4.8192 Å; angles 90.00, 90.00, 90.00 degrees
Last column: nearest neighbours and their distance in Å.
Element x y z (fractional)
Re: 0.5000 0.5000 0.5000  8 I 3.16, 4 Tc 3.41
Be: 0.0000 0.0000 0.0000  2 Tc 2.04
I: 0.5000 0.0000 0.0000  2 Be 2.41
I: 0.0000 0.0000 0.5000  2 Be 2.41
Tc: 0.0000 0.5000 0.0000  2 Be 2.04

Entry 10:
Here is a relaxed BeReTe2I crystal from the Alexandria database. Energies are from PBE.

Properties
Crystal system: tetragonal
Relative energy among the computed polymorphs: 265.5 meV per atom
Uncorrected energy: -3.422 eV/atom
ΔE_f (raw): 1.38 eV per atom
Space-group type: No. 123

Cell lengths 4.8091, 4.8091, 4.8767 Å; angles 90.00, 90.00, 90.00 degrees
Last column: nearest neighbours and their distance in Å.
Element x y z (fractional)
Te: 0.5000 0.0000 0.0000  2 Be 2.40
Te: 0.0000 0.5000 0.0000  2 Be 2.40
Be: 0.0000 0.0000 0.0000  4 Te 2.40, 2 I 2.44
Re: 0.5000 0.5000 0.5000  4 I 3.40, 8 Te 3.42
I: 0.0000 0.0000 0.5000  2 Be 2.44

Entry 11:
Here is a relaxed BeReTeI2 crystal from the Alexandria database. Energies are from PBE.

Properties
Crystal system: tetragonal
Relative energy among the computed polymorphs: 341.9 meV per atom
Uncorrected energy: -3.014 eV/atom
ΔE_f (raw): 1.47 eV per atom
Space-group type: No. 123

Cell lengths 4.8909, 4.8909, 4.9198 Å; angles 90.00, 90.00, 90.00 degrees
Last column: nearest neighbours and their distance in Å.
Element x y z (fractional)
I: 0.0000 0.5000 0.0000  2 Be 2.45
Be: 0.0000 0.0000 0.0000  4 I 2.45, 2 Te 2.46
Re: 0.5000 0.5000 0.5000  4 Te 3.46, 8 I 3.47
Te: 0.0000 0.0000 0.5000  2 Be 2.46
I: 0.5000 0.0000 0.0000  2 Be 2.45

Entry 12:
Here is a relaxed BeReTeI2 crystal from the Alexandria database. Energies are from PBE.

Properties
Crystal system: tetragonal
Relative energy among the computed polymorphs: 0.0 meV per atom
Uncorrected energy: -3.356 eV/atom
ΔE_f (raw): 1.13 eV per atom
Space-group type: No. 123

Cell lengths 5.6381, 5.6381, 5.0873 Å; angles 90.00, 90.00, 90.00 degrees
Last column: nearest neighbours and their distance in Å.
Element x y z (fractional)
I: 0.0000 0.5000 0.0000  2 Re 2.82
Te: 0.0000 0.0000 0.5000  2 Re 2.54
Re: 0.0000 0.0000 0.0000  2 Te 2.54, 4 I 2.82
I: 0.5000 0.0000 0.0000  2 Re 2.82
Be: 0.5000 0.5000 0.5000  8 I 3.80, 4 Te 3.99

Question: What is the ΔE_f (raw) in the eighth record?
Answer: 1.23 eV per atom

Question: uncorrected energy of number 12 (BeReTeI2)?
Answer: -3.356 eV/atom

Question: What is the ΔE_f (raw) in the second record?
Answer: 1.40 eV per atom